No. 1
# Ca4Pb2Au

A relaxed Ca4Pb2Au crystal (PBE-GGA, the Alexandria database).

Summary:
The formation energy is -387 kJ/mol of formula units. The spin magnetization comes out at 0.00 Bohr magnetons per cell.

Lattice parameters (Å, degrees): 9.3639 9.3639 9.3639 33.30 33.30 33.30
Positions (direct):
Ca 0.1218 0.1218 0.1218
Ca 0.3720 0.3720 0.3720
Ca 0.6280 0.6280 0.6280
Ca 0.8782 0.8782 0.8782
Pb 0.2471 0.2471 0.2471
Pb 0.7529 0.7529 0.7529
Au 0.0000 0.0000 0.0000

No. 2
# CaPb2Au

A relaxed CaPb2Au crystal (PBE-GGA, the Alexandria database).

Summary:
The formation energy is -113 kJ/mol of formula units. The spin magnetization comes out at 0.00 Bohr magnetons per cell.

Lattice parameters (Å, degrees): 4.1350 4.7675 5.9630 90.00 103.75 90.00
Positions (direct):
Ca 0.0000 0.0000 0.0000
Pb 0.3151 0.5000 0.7222
Pb 0.6849 0.5000 0.2778
Au 0.5000 0.0000 0.5000

No. 3
# Ca2PbAu9

A relaxed Ca2PbAu9 crystal (PBE-GGA, the Alexandria database).

Summary:
The formation energy is -432 kJ/mol of formula units. The spin magnetization comes out at 0.00 Bohr magnetons per cell.

Lattice parameters (Å, degrees): 5.6726 5.6726 18.5535 90.00 90.00 120.00
Positions (direct):
Ca 0.3333 0.6667 0.0436
Ca 0.3333 0.6667 0.4564
Ca 0.6667 0.3333 0.5436
Ca 0.6667 0.3333 0.9564
Pb 0.3333 0.6667 0.2500
Pb 0.6667 0.3333 0.7500
Au 0.0000 0.0000 0.0000
Au 0.0000 0.0000 0.2500
Au 0.0000 0.0000 0.5000
Au 0.0000 0.0000 0.7500
Au 0.1693 0.3387 0.6211
Au 0.1693 0.3387 0.8789
Au 0.1693 0.8307 0.6211
Au 0.1693 0.8307 0.8789
Au 0.3333 0.6667 0.7500
Au 0.3387 0.1693 0.1211
Au 0.3387 0.1693 0.3789
Au 0.6613 0.8307 0.6211
Au 0.6613 0.8307 0.8789
Au 0.6667 0.3333 0.2500
Au 0.8307 0.1693 0.1211
Au 0.8307 0.1693 0.3789
Au 0.8307 0.6613 0.1211
Au 0.8307 0.6613 0.3789

No. 4
# CaPb2Au2

A relaxed CaPb2Au2 crystal (PBE-GGA, the Alexandria database).

Summary:
The formation energy is -99 kJ/mol of formula units. The spin magnetization comes out at 0.00 Bohr magnetons per cell.

Lattice parameters (Å, degrees): 8.4743 8.4743 3.5972 90.00 90.00 90.00
Positions (direct):
Ca 0.0000 0.0000 0.0000
Ca 0.5000 0.5000 0.0000
Pb 0.1367 0.3633 0.0000
Pb 0.3633 0.8633 0.0000
Pb 0.6367 0.1367 0.0000
Pb 0.8633 0.6367 0.0000
Au 0.1635 0.6635 0.5000
Au 0.3365 0.1635 0.5000
Au 0.6635 0.8365 0.5000
Au 0.8365 0.3365 0.5000

No. 5
# CaPb2Au

A relaxed CaPb2Au crystal (PBE-GGA, the Alexandria database).

Summary:
The formation energy is -107 kJ/mol of formula units. The spin magnetization comes out at 0.00 Bohr magnetons per cell.

Lattice parameters (Å, degrees): 6.0089 6.0089 6.0089 47.88 47.88 47.88
Positions (direct):
Ca 0.0000 0.0000 0.0000
Pb 0.2327 0.2327 0.2327
Pb 0.7673 0.7673 0.7673
Au 0.5000 0.5000 0.5000

No. 6
# CaPbAu3

A relaxed CaPbAu3 crystal (PBE-GGA, the Alexandria database).

Summary:
The formation energy is 37 kJ/mol of formula units. The spin magnetization comes out at 0.00 Bohr magnetons per cell. Its relative energy among the computed polymorphs is 519 meV per atom.

Lattice parameters (Å, degrees): 5.3619 5.3619 5.3619 90.00 90.00 90.00
Positions (direct):
Ca 0.0000 0.0000 0.0000
Pb 0.5000 0.5000 0.5000
Au 0.0000 0.5000 0.5000
Au 0.5000 0.0000 0.5000
Au 0.5000 0.5000 0.0000